# RbNaCo2F8 | the Alexandria database | GGA+U | relaxed
# E_tot = -52.3 eV per cell
# crystal system = trigonal
# calculated density = 3.25 g/cm³
# calculated volume = 193.46 Å³/f.u.
data_RbNaCo2F8
_chemical_formula_sum 'Rb1 Na1 Co2 F8'
_space_group_name_H-M_alt 'P -3'
_space_group_IT_number 147
_space_group_name_Hall '-P 3'
_cell_length_a 5.8571
_cell_length_b 5.8571
_cell_length_c 6.5118
_cell_angle_alpha 90.00
_cell_angle_beta 90.00
_cell_angle_gamma 120.00
loop_
_atom_site_label
_atom_site_type_symbol
_atom_site_fract_x
_atom_site_fract_y
_atom_site_fract_z
_atom_site_occupancy
Rb1 Rb 0.0000 0.0000 0.0000 1
Na1 Na 0.0000 0.0000 0.5000 1
Co1 Co 0.3333 0.6667 0.4636 1
F1 F 0.0743 0.3846 0.6285 1
F2 F 0.3333 0.6667 0.1855 1